(1)
Below is a relaxed SmMgAlZn crystal, with properties calculated at the PBE level.

Values from the calculation:
- D(E_F) (states/eV/f.u.) = 1.1
- spin magnetization (μB per formula unit) = 0.00
- symmetry = F-43m, No. 216
- E_form (meV/atom) = -278

Cell lengths 4.948, 4.948, 4.948 Å; angles 60.00, 60.00, 60.00 degrees
Positions (direct):
Sm  0.000  0.000  0.000
Mg  0.500  0.500  0.500
Al  0.750  0.750  0.750
Zn  0.250  0.250  0.250

---

(2)
Below is a relaxed SmMg2AlZn2 crystal, with properties calculated at the PBE level.

Values from the calculation:
- D(E_F) (states/eV/f.u.) = 3.0
- spin magnetization (μB per formula unit) = 0.00
- symmetry = I4/mmm, No. 139
- E_form (meV/atom) = 111

Cell lengths 6.562, 6.562, 6.562 Å; angles 134.39, 134.39, 66.48 degrees
Positions (direct):
Sm  0.000  0.000  0.000
Mg  0.250  0.750  0.500
Mg  0.750  0.250  0.500
Al  0.500  0.500  0.000
Zn  0.281  0.281  0.000
Zn  0.719  0.719  0.000

---

(3)
Below is a relaxed Sm4MgAlZn2 crystal, with properties calculated at the PBE level.

Values from the calculation:
- D(E_F) (states/eV/f.u.) = 9.1
- spin magnetization (μB per formula unit) = 0.00
- symmetry = R-3m, No. 166
- E_form (meV/atom) = -261

Cell lengths 9.098, 9.098, 9.098 Å; angles 33.42, 33.42, 33.42 degrees
Positions (direct):
Sm  0.121  0.121  0.121
Sm  0.372  0.372  0.372
Sm  0.628  0.628  0.628
Sm  0.879  0.879  0.879
Mg  0.500  0.500  0.500
Al  0.000  0.000  0.000
Zn  0.245  0.245  0.245
Zn  0.755  0.755  0.755

---

(4)
Below is a relaxed SmMgZrAl crystal, with properties calculated at the PBE level.

Values from the calculation:
- D(E_F) (states/eV/f.u.) = 2.8
- spin magnetization (μB per formula unit) = 0.00
- symmetry = F-43m, No. 216
- E_form (meV/atom) = -162

Cell lengths 5.071, 5.071, 5.071 Å; angles 60.00, 60.00, 60.00 degrees
Positions (direct):
Sm  0.000  0.000  0.000
Mg  0.750  0.750  0.750
Zr  0.500  0.500  0.500
Al  0.250  0.250  0.250

---

(5)
Below is a relaxed MgAlSn crystal, with properties calculated at the PBE level.

Values from the calculation:
- D(E_F) (states/eV/f.u.) = 1.5
- spin magnetization (μB per formula unit) = 0.00
- symmetry = I4mm, No. 107
- E_form (meV/atom) = 60

Cell lengths 5.510, 5.510, 5.510 Å; angles 140.76, 140.76, 56.71 degrees
Positions (direct):
Mg  0.000  0.000  0.000
Al  0.661  0.661  0.000
Sn  0.323  0.323  0.000

---

(6)
Below is a relaxed Mg2AlSn2 crystal, with properties calculated at the PBE level.

Values from the calculation:
- D(E_F) (states/eV/f.u.) = 1.8
- spin magnetization (μB per formula unit) = 0.00
- symmetry = I4/mmm, No. 139
- E above lowest polymorph (meV per atom) = 136.8
- E_form (meV/atom) = 181

Cell lengths 6.980, 6.980, 6.980 Å; angles 140.67, 140.67, 56.84 degrees
Positions (direct):
Mg  0.250  0.750  0.500
Mg  0.750  0.250  0.500
Al  0.000  0.000  0.000
Sn  0.388  0.388  0.000
Sn  0.612  0.612  0.000

---

(7)
Below is a relaxed MgAlSn crystal, with properties calculated at the PBE level.

Values from the calculation:
- D(E_F) (states/eV/f.u.) = 0.8
- spin magnetization (μB per formula unit) = 0.00
- symmetry = I4mm, No. 107
- E_form (meV/atom) = 37

Cell lengths 6.633, 6.633, 6.633 Å; angles 151.59, 151.59, 40.62 degrees
Positions (direct):
Mg  0.000  0.000  0.000
Al  0.654  0.654  0.000
Sn  0.319  0.319  0.000

---

(8)
Below is a relaxed Mg8AlSn6 crystal, with properties calculated at the PBE level.

Values from the calculation:
- D(E_F) (states/eV/f.u.) = 8.5
- spin magnetization (μB per formula unit) = 0.00
- symmetry = R-3, No. 148
- E_form (meV/atom) = 0

Cell lengths 8.087, 8.087, 8.087 Å; angles 61.87, 61.87, 61.87 degrees
Positions (direct):
Mg  0.042  0.387  0.728
Mg  0.168  0.168  0.168
Mg  0.272  0.958  0.613
Mg  0.387  0.728  0.042
Mg  0.613  0.272  0.958
Mg  0.728  0.042  0.387
Mg  0.832  0.832  0.832
Mg  0.958  0.613  0.272
Al  0.500  0.500  0.500
Sn  0.111  0.756  0.432
Sn  0.244  0.568  0.889
Sn  0.432  0.111  0.756
Sn  0.568  0.889  0.244
Sn  0.756  0.432  0.111
Sn  0.889  0.244  0.568